{
  "formula": "Al3Sb",
  "functional": "PBE-GGA",
  "state": "relaxed",
  "cell": [[3.210, -5.174, 0.000], [3.210, 5.174, 0.000], [0.000, 0.000, 4.826]],
  "species": ["Al", "Al", "Al", "Al", "Al", "Al", "Sb", "Sb"],
  "fractional_positions": [[0.149, 0.307, 0.750], [0.165, 0.835, 0.750], [0.307, 0.149, 0.250], [0.693, 0.851, 0.750], [0.835, 0.165, 0.250], [0.851, 0.693, 0.250], [0.341, 0.659, 0.250], [0.659, 0.341, 0.750]],
  "formation_energy_uncorrected_ev_per_atom": 0.17
}

***

{
  "formula": "Ba2Mg4AlHg3",
  "functional": "PBE-GGA",
  "state": "relaxed",
  "cell": [[4.857, 0.000, 0.000], [0.000, 4.857, 0.000], [0.000, 0.000, 12.117]],
  "species": ["Ba", "Ba", "Mg", "Mg", "Mg", "Mg", "Al", "Hg", "Hg", "Hg"],
  "fractional_positions": [[0.000, 0.500, 0.241], [0.500, 0.000, 0.759], [0.000, 0.000, 0.500], [0.000, 0.500, 0.877], [0.500, 0.000, 0.123], [0.500, 0.500, 0.500], [0.500, 0.500, 0.000], [0.000, 0.000, 0.000], [0.000, 0.500, 0.638], [0.500, 0.000, 0.362]],
  "delta_e_f_ev_per_atom": -0.27
}

***

{
  "formula": "KFe3",
  "functional": "PBE-GGA",
  "state": "relaxed",
  "cell": [[4.628, 2.672, 0.860], [-4.628, 2.672, 0.860], [0.000, -5.344, 0.860]],
  "species": ["K", "Fe", "Fe", "Fe"],
  "fractional_positions": [[0.000, 0.000, 0.000], [0.000, 0.500, 0.500], [0.500, 0.000, 0.500], [0.500, 0.500, 0.000]],
  "delta_e_f_ev_per_atom": 1.17
}

***

{
  "formula": "BaNiN",
  "functional": "PBE-GGA",
  "state": "relaxed",
  "cell": [[2.504, 1.446, 3.064], [-2.504, 1.446, 3.064], [0.000, -2.891, 3.064]],
  "species": ["Ba", "Ni", "N"],
  "fractional_positions": [[0.000, 0.000, 0.000], [0.485, 0.485, 0.485], [0.299, 0.299, 0.299]],
  "formation_energy_uncorrected_ev_per_atom": 0.23
}

***

{
  "formula": "BaBr3",
  "functional": "PBE-GGA",
  "state": "relaxed",
  "cell": [[2.611, 1.508, 8.723], [-2.611, 1.508, 8.723], [0.000, -3.015, 8.723]],
  "species": ["Ba", "Br", "Br", "Br"],
  "fractional_positions": [[0.000, 0.000, 0.000], [0.383, 0.383, 0.383], [0.500, 0.500, 0.500], [0.617, 0.617, 0.617]],
  "formation_energy_uncorrected_ev_per_atom": -1.36
}

***

{
  "formula": "Li3Si4Ir2",
  "functional": "PBE-GGA",
  "state": "relaxed",
  "cell": [[4.116, 0.000, 0.000], [-2.058, 3.564, 0.000], [0.000, 0.000, 7.818]],
  "species": ["Li", "Li", "Li", "Si", "Si", "Si", "Si", "Ir", "Ir"],
  "fractional_positions": [[0.000, 0.000, 0.000], [0.333, 0.667, 0.554], [0.667, 0.333, 0.446], [0.000, 0.000, 0.336], [0.000, 0.000, 0.664], [0.333, 0.667, 0.892], [0.667, 0.333, 0.108], [0.333, 0.667, 0.214], [0.667, 0.333, 0.786]],
  "formation_energy_uncorrected_ev_per_atom": -0.51
}

***

{
  "formula": "AlPd2Pb",
  "functional": "PBE-GGA",
  "state": "relaxed",
  "cell": [[3.151, 0.000, 0.000], [0.000, 3.151, 0.000], [0.000, 0.000, 7.258]],
  "species": ["Al", "Pd", "Pd", "Pb"],
  "fractional_positions": [[0.000, 0.000, 0.000], [0.500, 0.500, 0.194], [0.500, 0.500, 0.806], [0.000, 0.000, 0.500]],
  "e_above_lowest_polymorph_mev_per_atom": 0,
  "delta_e_f_ev_per_atom": -0.53
}

***

{
  "formula": "BaAc2O",
  "functional": "PBE-GGA",
  "state": "relaxed",
  "cell": [[1.981, 1.144, 10.594], [-1.981, 1.144, 10.594], [0.000, -2.288, 10.594]],
  "species": ["Ba", "Ac", "Ac", "O"],
  "fractional_positions": [[0.000, 0.000, 0.000], [0.121, 0.121, 0.121], [0.879, 0.879, 0.879], [0.500, 0.500, 0.500]],
  "formation_energy_uncorrected_ev_per_atom": -1.06
}

***

{
  "formula": "CuCF2",
  "functional": "PBE-GGA",
  "state": "relaxed",
  "cell": [[0.000, 2.707, 2.707], [2.707, 0.000, 2.707], [2.707, 2.707, 0.000]],
  "species": ["Cu", "C", "F", "F"],
  "fractional_positions": [[0.000, 0.000, 0.000], [0.500, 0.500, 0.500], [0.250, 0.250, 0.250], [0.750, 0.750, 0.750]],
  "formation_energy_uncorrected_ev_per_atom": 0.81,
  "e_above_lowest_polymorph_mev_per_atom": 293
}